Here is a relaxed structure of ScPaInAu from Alexandria. Energies are from PBE-GGA.

Computed properties:
energy relative to the elements: -193 meV per atom
density of states at the Fermi level: 8.596 states/eV/f.u.
SG: F-43m (216)
M_tot: 1.76 μB/cell

Cell: 5.1118 5.1118 5.1118 Å, 60.00 60.00 60.00°
With the nearest neighbours (Å) after each atom.
Element x y z (fractional)
Sc: 0.7500 0.7500 0.7500  4 In 3.13, 4 Au 3.13
Pa: 0.2500 0.2500 0.2500  4 Au 3.13, 4 In 3.13
Au: 0.0000 0.0000 0.0000  4 Sc 3.13, 4 Pa 3.13
In: 0.5000 0.5000 0.5000  4 Pa 3.13, 4 Sc 3.13